# 1
VASP calculation (PBE) on a geometry-optimized Cs2SnBBr6 structure.

## Properties
The calculation puts the volume at 665.2 Å³/cell. For the formation energy without anion corrections, the calculation gives -72.7 kJ per mole of atoms. The value obtained for the density of states at the Fermi level is 5.020 states/eV per cell.

Structure (CIF):
```
data_Cs2SnBBr6
_chemical_formula_sum 'Cs4 Sn2 B2 Br12'
_space_group_name_H-M_alt 'I 4/m m m'
_space_group_IT_number 139
_space_group_name_Hall '-I 4 2'
_cell_length_a 7.997
_cell_length_b 7.997
_cell_length_c 10.401
_cell_angle_alpha 90.00
_cell_angle_beta 90.00
_cell_angle_gamma 90.00
loop_
_atom_site_label
_atom_site_type_symbol
_atom_site_fract_x
_atom_site_fract_y
_atom_site_fract_z
Cs1 Cs 0.000 0.500 0.250
Sn1 Sn 0.000 0.000 0.000
B1 B 0.000 0.000 0.500
Br1 Br 0.000 0.000 0.286
Br2 Br 0.241 0.241 0.500
```



# 2
VASP calculation (PBE) on a geometry-optimized LuPtAu structure.

## Properties
Its energy above the most stable polymorph in this dataset is 0.0 kJ/mol of atoms. The value obtained for the energy of formation is -0.984 eV/atom. The calculation puts the volume at 116.8 Å³/cell. The value obtained for the density of states at the Fermi level is 3.051 states/eV per cell.

Structure (CIF):
```
data_LuPtAu
_chemical_formula_sum 'Lu2 Pt2 Au2'
_space_group_name_H-M_alt 'I 4 m m'
_space_group_IT_number 107
_space_group_name_Hall 'I 4 -2'
_cell_length_a 3.609
_cell_length_b 3.609
_cell_length_c 8.964
_cell_angle_alpha 90.00
_cell_angle_beta 90.00
_cell_angle_gamma 90.00
loop_
_atom_site_label
_atom_site_type_symbol
_atom_site_fract_x
_atom_site_fract_y
_atom_site_fract_z
Lu1 Lu 0.000 0.000 0.000
Pt1 Pt 0.000 0.000 0.653
Au1 Au 0.000 0.000 0.328
```



# 3
VASP calculation (PBE) on a geometry-optimized Rb2Tl2H4Rh structure.

## Properties
The calculation puts the volume at 404.5 Å³/cell. The value obtained for the density of states at the Fermi level is 7.711 states/eV per cell. For the uncorrected energy, the calculation gives -3.081 eV per atom.

Structure (CIF):
```
data_Rb2Tl2H4Rh
_chemical_formula_sum 'Rb4 Tl4 H8 Rh2'
_space_group_name_H-M_alt 'I 4/m m m'
_space_group_IT_number 139
_space_group_name_Hall '-I 4 2'
_cell_length_a 7.065
_cell_length_b 7.065
_cell_length_c 8.105
_cell_angle_alpha 90.00
_cell_angle_beta 90.00
_cell_angle_gamma 90.00
loop_
_atom_site_label
_atom_site_type_symbol
_atom_site_fract_x
_atom_site_fract_y
_atom_site_fract_z
Rb1 Rb 0.000 0.500 0.250
Tl1 Tl 0.000 0.000 0.178
H1 H 0.171 0.171 0.500
Rh1 Rh 0.000 0.000 0.500
```